A plane-wave DFT calculation with GGA+U was carried out for a relaxed K2NiRh3F12 crystal.

Symmetry: R-3m
Uncorrected energy, eV/cell: -83.213

a = 7.3655 Å, b = 7.3655 Å, c = 7.3655 Å
α = 60.86°, β = 60.86°, γ = 60.86°
Fractional coordinates of all 18 atoms:
K (0.1431, 0.1431, 0.1431)
K (0.8569, 0.8569, 0.8569)
Ni (0.5000, 0.5000, 0.5000)
Rh (0.0000, 0.5000, 0.5000)
Rh (0.5000, 0.0000, 0.5000)
Rh (0.5000, 0.5000, 0.0000)
F (0.1667, 0.1667, 0.5747)
F (0.1667, 0.5747, 0.1667)
F (0.1744, 0.5778, 0.5778)
F (0.4222, 0.4222, 0.8256)
F (0.4222, 0.8256, 0.4222)
F (0.4253, 0.8333, 0.8333)
F (0.5747, 0.1667, 0.1667)
F (0.5778, 0.1744, 0.5778)
F (0.5778, 0.5778, 0.1744)
F (0.8256, 0.4222, 0.4222)
F (0.8333, 0.4253, 0.8333)
F (0.8333, 0.8333, 0.4253)